# LiCoPO4

Crystalline LiCoPO4 at its relaxed geometry (PBE+U, Alexandria via LeMat-Bulk).

The calculation puts the volume at 340 Å³/cell. The energy above the lowest structure with this stoichiometry is 46.9 meV per atom. The total DFT energy (no corrections) comes out at -6.599 eV/atom.

The structure belongs to space group Pna2_1 (No. 33); the cell edges are 11.100, 6.103 and 5.022 Å and the angles 90.00°, 90.00° and 90.00°. Symmetry generates all atoms from Li at (0.067, 0.213, 0.000), Co at (0.165, 0.467, 0.502), P at (0.089, 0.730, 0.006), O at (0.041, 0.241, 0.396), O at (0.086, 0.714, 0.314), O at (0.147, 0.516, 0.894) and O at (0.162, 0.937, 0.923).